VASP calculation (PBE-GGA) on an optimized crystal structure of Pr2Er2Tl3.

Summary:
Calculated volume (Å³/atom): 30.05
Formation energy from the elements (eV/atom): -0.227
Energy relative to the lowest polymorph listed for this composition (meV per atom): 0

The structure in POSCAR format:
```
Pr2Er2Tl3
1.0
3.525 0.000 0.468
0.000 3.621 0.000
-0.387 0.000 16.429
Er Tl Pr
2 3 2
Cartesian
0.889 1.811 6.814
2.249 1.811 10.083
0.000 0.000 0.000
0.219 0.000 11.862
2.919 0.000 5.035
1.460 1.811 2.515
1.678 1.811 14.382
```

=====

VASP calculation (PBE-GGA) on an optimized crystal structure of Sc2InMoC.

Summary:
Calculated volume (Å³/atom): 17.35
Formation energy from the elements (eV/atom): -0.417

The structure in POSCAR format:
```
Sc2InMoC
1.0
4.571 0.000 0.000
0.000 4.571 0.000
0.000 0.000 4.151
C Mo In Sc
1 1 1 2
Cartesian
0.000 0.000 0.000
0.000 0.000 2.076
2.286 2.286 2.076
2.286 0.000 0.000
0.000 2.286 0.000
```

=====

VASP calculation (PBE-GGA) on an optimized crystal structure of K2HfSc.

Summary:
Calculated volume (Å³/atom): 34.94
Formation energy from the elements (eV/atom): 1.401
Energy relative to the lowest polymorph listed for this composition (meV per atom): 50

The structure in POSCAR format:
```
K2HfSc
1.0
0.000 4.119 4.119
4.119 0.000 4.119
4.119 4.119 0.000
Hf K Sc
1 2 1
Cartesian
4.119 4.119 4.119
6.178 6.178 6.178
2.059 2.059 2.059
0.000 0.000 0.000
```